No. 1
The following is a GGA-PBE calculation of crystalline ScTc2Mo at its relaxed geometry, from the Alexandria database.

```
data_ScTc2Mo
_chemical_formula_sum 'Sc1 Tc2 Mo1'
_space_group_name_H-M_alt 'P m m m'
_space_group_IT_number 47
_cell_length_a 3.136
_cell_length_b 4.370
_cell_length_c 4.641
_cell_angle_alpha 90.00
_cell_angle_beta 90.00
_cell_angle_gamma 90.00
loop_
_space_group_symop_operation_xyz
'x,y,z'
'-x,-y,-z'
'-x,-y,z'
'x,y,-z'
'x,-y,-z'
'-x,y,z'
'-x,y,-z'
'x,-y,z'
loop_
_atom_site_label
_atom_site_type_symbol
_atom_site_fract_x
_atom_site_fract_y
_atom_site_fract_z
Sc1 Sc 0.000 0.000 0.000
Tc1 Tc 0.000 0.500 0.500
Tc2 Tc 0.500 0.500 0.000
Mo1 Mo 0.500 0.000 0.500
```

Results
Total magnetization ... 0.000 μB per formula unit
Calculated volume ... 63.6 Å³ per cell
E_tot ... -9.468 eV/atom

***

No. 2
The following is a GGA-PBE calculation of crystalline ScTcMo at its relaxed geometry, from the Alexandria database.

```
data_ScTcMo
_chemical_formula_sum 'Sc4 Tc4 Mo4'
_space_group_name_H-M_alt 'C 1 2/m 1'
_space_group_IT_number 12
_cell_length_a 9.816
_cell_length_b 4.478
_cell_length_c 5.482
_cell_angle_alpha 90.00
_cell_angle_beta 123.58
_cell_angle_gamma 90.00
loop_
_space_group_symop_operation_xyz
'x,y,z'
'-x,-y,-z'
'-x,y,-z'
'x,-y,z'
'x+1/2,y+1/2,z'
'-x+1/2,-y+1/2,-z'
'-x+1/2,y+1/2,-z'
'x+1/2,-y+1/2,z'
loop_
_atom_site_label
_atom_site_type_symbol
_atom_site_fract_x
_atom_site_fract_y
_atom_site_fract_z
Sc1 Sc 0.172 0.000 0.084
Tc1 Tc 0.159 0.000 0.566
Mo1 Mo 0.020 0.500 0.276
```

Results
Total magnetization ... 0.000 μB per formula unit
Calculated volume ... 200.7 Å³ per cell
E_tot ... -9.292 eV/atom

***

No. 3
The following is a GGA-PBE calculation of crystalline ScTcMo at its relaxed geometry, from the Alexandria database.

```
data_ScTcMo
_chemical_formula_sum 'Sc4 Tc4 Mo4'
_space_group_name_H-M_alt 'F -4 3 m'
_space_group_IT_number 216
_space_group_name_Hall 'F -4 2 3'
_cell_length_a 6.139
_cell_length_b 6.139
_cell_length_c 6.139
_cell_angle_alpha 90.00
_cell_angle_beta 90.00
_cell_angle_gamma 90.00
loop_
_atom_site_label
_atom_site_type_symbol
_atom_site_fract_x
_atom_site_fract_y
_atom_site_fract_z
Sc1 Sc 0.000 0.000 0.000
Tc1 Tc 0.250 0.250 0.250
Mo1 Mo 0.000 0.000 0.500
```

Results
Total magnetization ... 0.000 μB per formula unit
Calculated volume ... 231.4 Å³ per cell
E_tot ... -8.853 eV/atom

***

No. 4
The following is a GGA-PBE calculation of crystalline ScTc2Mo at its relaxed geometry, from the Alexandria database.

```
data_ScTc2Mo
_chemical_formula_sum 'Sc1 Tc2 Mo1'
_space_group_name_H-M_alt 'P m m 2'
_space_group_IT_number 25
_cell_length_a 2.836
_cell_length_b 4.433
_cell_length_c 5.171
_cell_angle_alpha 90.00
_cell_angle_beta 90.00
_cell_angle_gamma 90.00
loop_
_space_group_symop_operation_xyz
'x,y,z'
'-x,-y,z'
'-x,y,z'
'x,-y,z'
loop_
_atom_site_label
_atom_site_type_symbol
_atom_site_fract_x
_atom_site_fract_y
_atom_site_fract_z
Sc1 Sc 0.000 0.000 0.000
Tc1 Tc 0.000 0.000 0.497
Tc2 Tc 0.500 0.500 0.222
Mo1 Mo 0.500 0.500 0.720
```

Results
Total magnetization ... 0.000 μB per formula unit
Calculated volume ... 65.0 Å³ per cell
E_tot ... -9.318 eV/atom